No. 1
BaSb4Br | GGA-PBE | optimized geometry

Properties
Space-group type: F-43m

abc: 6.4987 6.4987 6.4987
angles: 60.00 60.00 60.00
Fractional coordinates of all 6 atoms:
Ba1 0.7500 0.7500 0.7500
Sb1 0.3659 0.9024 0.3659
Sb2 0.9024 0.3659 0.3659
Sb3 0.3659 0.3659 0.3659
Sb4 0.3659 0.3659 0.9024
Br1 0.0000 0.0000 0.0000

---

No. 2
Ba5SbBr5 | GGA-PBE | optimized geometry

Properties
Space-group type: C2/m

abc: 6.7751 8.2996 9.5669
angles: 106.67 90.00 114.09
Fractional coordinates of all 11 atoms:
Ba1 0.8384 0.6767 0.6704
Ba2 0.1632 0.3263 0.8330
Ba3 0.1616 0.3233 0.3296
Ba4 0.8368 0.6737 0.1670
Ba5 0.5000 0.0000 0.0000
Sb1 0.0000 0.0000 0.0000
Br1 0.3297 0.6594 0.1665
Br2 0.6690 0.3380 0.3373
Br3 0.3310 0.6620 0.6627
Br4 0.6703 0.3406 0.8335
Br5 0.0000 0.0000 0.5000

---

| no. | formation energy from raw total energies (eV/atom) |
| --- | --- |
| 1 | -0.440 |
| 2 | -1.711 |